No. 1
Entry from Alexandria via LeMat-Bulk: crystalline ScNbO4 at its relaxed geometry (PBE).

Cell lengths 3.1530, 4.8399, 4.8399 Å; angles 91.79, 90.00, 90.00 degrees
Last column: nearest neighbours and their distance in Å.
Atoms (fractional coordinates):
Sc 0.5000 0.0000 0.0000  6 O 2.10-2.17
Nb 0.0000 0.5000 0.5000  6 O 1.99-2.05
O 0.0000 0.2052 0.2052  1 Nb 1.99, 2 Sc 2.10
O 0.0000 0.7948 0.7948  1 Nb 1.99, 2 Sc 2.10
O 0.5000 0.6878 0.3122  2 Nb 2.05, 1 Sc 2.17
O 0.5000 0.3122 0.6878  2 Nb 2.05, 1 Sc 2.17

Output
**Space group**: No. 65
**Formation energy from raw total energies**: -2.953 eV/atom
**Density of states at the Fermi level**: 0.000 states/eV/f.u.
**V**: 73.8 Å³/cell
**Energy**: -8.992 eV per atom

No. 2
Entry from Alexandria via LeMat-Bulk: crystalline ScNb3O at its relaxed geometry (PBE).

Cell lengths 4.3534, 4.3534, 4.3534 Å; angles 90.00, 90.00, 90.00 degrees
Last column: nearest neighbours and their distance in Å.
Atoms (fractional coordinates):
Sc 0.5000 0.5000 0.5000  12 Nb 3.08
Nb 0.0000 0.5000 0.0000  2 O 2.18
Nb 0.0000 0.0000 0.5000  2 O 2.18
Nb 0.5000 0.0000 0.0000  2 O 2.18
O 0.0000 0.0000 0.0000  6 Nb 2.18

Output
**Space group**: No. 221
**Formation energy from raw total energies**: -0.686 eV/atom
**Density of states at the Fermi level**: 3.098 states/eV/f.u.
**V**: 82.5 Å³/cell
**Energy**: -8.986 eV per atom

No. 3
Entry from Alexandria via LeMat-Bulk: crystalline ScNbO4 at its relaxed geometry (PBE).

Cell lengths 4.8573, 5.1622, 5.8026 Å; angles 90.00, 90.00, 90.00 degrees
Last column: nearest neighbours and their distance in Å.
Atoms (fractional coordinates):
Sc 0.0000 0.5000 0.1754  6 O 2.11-2.17
Sc 0.5000 0.5000 0.6754  6 O 2.11-2.17
Nb 0.0000 0.0000 0.8124  4 O 1.91-1.97
Nb 0.5000 0.0000 0.3124  4 O 1.91-1.97
O 0.2380 0.8373 0.1143  1 Nb 1.91, 1 Sc 2.12
O 0.2124 0.3137 0.8918  1 Nb 1.97, 2 Sc 2.11-2.17
O 0.2876 0.3137 0.3918  1 Nb 1.97, 2 Sc 2.11-2.17
O 0.2620 0.8373 0.6143  1 Nb 1.91, 1 Sc 2.12
O 0.7124 0.6863 0.3918  1 Nb 1.97, 2 Sc 2.11-2.17
O 0.7380 0.1627 0.6143  1 Nb 1.91, 1 Sc 2.12
O 0.7620 0.1627 0.1143  1 Nb 1.91, 1 Sc 2.12
O 0.7876 0.6863 0.8918  1 Nb 1.97, 2 Sc 2.11-2.17

Output
**Space group**: No. 30
**Formation energy from raw total energies**: -2.994 eV/atom
**Density of states at the Fermi level**: 0.000 states/eV/f.u.
**V**: 145.5 Å³/cell
**Energy**: -9.033 eV per atom

No. 4
Entry from Alexandria via LeMat-Bulk: crystalline ScNb2O6 at its relaxed geometry (PBE).

Cell lengths 3.7683, 5.4625, 6.7265 Å; angles 68.31, 73.73, 69.82 degrees
Last column: nearest neighbours and their distance in Å.
Atoms (fractional coordinates):
Sc 0.0000 0.5000 0.5000  6 O 2.11-2.29
Nb 0.1773 0.7799 0.8655  4 O 1.92-1.98
Nb 0.8227 0.2201 0.1345  4 O 1.92-1.98
O 0.7060 0.6649 0.9231  2 Nb 1.98
O 0.2940 0.3351 0.0769  2 Nb 1.98
O 0.9805 0.8287 0.2102  1 Nb 1.92, 1 Sc 2.11
O 0.3582 0.6837 0.5999  1 Nb 1.92
O 0.0195 0.1713 0.7898  1 Nb 1.92, 1 Sc 2.11
O 0.6418 0.3163 0.4001  1 Nb 1.92

Output
**Space group**: No. 12
**Formation energy from raw total energies**: -2.701 eV/atom
**Density of states at the Fermi level**: 3.704 states/eV/f.u.
**V**: 118.9 Å³/cell
**Energy**: -8.948 eV per atom

No. 5
Entry from Alexandria via LeMat-Bulk: crystalline Sc2NbO6 at its relaxed geometry (PBE).

Cell lengths 4.8571, 4.8571, 9.5559 Å; angles 90.00, 90.00, 90.00 degrees
Last column: nearest neighbours and their distance in Å.
Atoms (fractional coordinates):
Sc 0.0000 0.0000 0.3321  6 O 2.11-2.13
Sc 0.5000 0.5000 0.8321  6 O 2.11-2.13
Sc 0.5000 0.5000 0.1679  6 O 2.11-2.13
Sc 0.0000 0.0000 0.6679  6 O 2.11-2.13
Nb 0.0000 0.0000 0.0000  6 O 2.01-2.03
Nb 0.5000 0.5000 0.5000  6 O 2.01-2.03
O 0.3065 0.3065 0.3422  1 Nb 2.01, 2 Sc 2.11-2.13
O 0.6935 0.6935 0.3422  1 Nb 2.01, 2 Sc 2.11-2.13
O 0.1935 0.8065 0.8422  1 Nb 2.01, 2 Sc 2.11-2.13
O 0.8065 0.1935 0.8422  1 Nb 2.01, 2 Sc 2.11-2.13
O 0.1935 0.8065 0.1578  1 Nb 2.01, 2 Sc 2.11-2.13
O 0.8065 0.1935 0.1578  1 Nb 2.01, 2 Sc 2.11-2.13
O 0.3065 0.3065 0.6578  1 Nb 2.01, 2 Sc 2.11-2.13
O 0.6935 0.6935 0.6578  1 Nb 2.01, 2 Sc 2.11-2.13
O 0.2952 0.2952 0.0000  1 Nb 2.03, 2 Sc 2.13
O 0.7048 0.7048 0.0000  1 Nb 2.03, 2 Sc 2.13
O 0.2048 0.7952 0.5000  1 Nb 2.03, 2 Sc 2.13
O 0.7952 0.2048 0.5000  1 Nb 2.03, 2 Sc 2.13

Output
**Space group**: No. 136
**Formation energy from raw total energies**: -2.854 eV/atom
**Density of states at the Fermi level**: 5.304 states/eV/f.u.
**V**: 225.4 Å³/cell
**Energy**: -8.685 eV per atom

No. 6
Entry from Alexandria via LeMat-Bulk: crystalline Sc2NbO at its relaxed geometry (PBE).

Cell lengths 6.2080, 6.2080, 5.9735 Å; angles 58.69, 58.69, 90.00 degrees
Last column: nearest neighbours and their distance in Å.
Atoms (fractional coordinates):
Sc 0.5004 0.1250 0.2500  2 O 2.01
Sc 0.2496 0.6250 0.2500  2 O 2.01
Sc 0.3750 0.4996 0.7500  2 O 2.01
Sc 0.8750 0.7504 0.7500  2 O 2.01
Nb 0.0000 0.0000 0.0000  4 Sc 2.97
Nb 0.7500 0.2500 0.5000  4 Sc 2.97
O 0.5000 0.5000 0.0000  4 Sc 2.01
O 0.2500 0.7500 0.5000  4 Sc 2.01

Output
**Space group**: No. 122
**Formation energy from raw total energies**: -0.942 eV/atom
**Density of states at the Fermi level**: 1.651 states/eV/f.u.
**V**: 156.1 Å³/cell
**Energy**: -7.864 eV per atom